# 1
# Tb6Pt2PbSe3 | Alexandria | PBE | optimized geometry
# Calculated density (Mg/m³): 9.6
# Formation energy from raw total energies (kJ per mole of atoms): -130.1
# Size of the total moment (μB/cell): 0.0
data_Tb6Pt2PbSe3
_cell_length_a 4.0326
_cell_length_b 8.6624
_cell_length_c 9.6498
_cell_angle_alpha 109.58
_cell_angle_beta 102.06
_cell_angle_gamma 90.00
_space_group_name_H-M_alt 'P 1'
_space_group_IT_number 1
loop_
_space_group_symop_operation_xyz
'x,y,z'
loop_
_atom_site_label
_atom_site_type_symbol
_atom_site_fract_x
_atom_site_fract_y
_atom_site_fract_z
_atom_site_occupancy
Tb1 Tb 0.3250 0.9101 0.6500 1
Tb2 Tb 0.6757 0.5606 0.3514 1
Tb3 Tb 0.6750 0.0899 0.3500 1
Tb4 Tb 0.9983 0.2700 0.9967 1
Tb5 Tb 0.0017 0.7300 0.0033 1
Tb6 Tb 0.3243 0.4394 0.6486 1
Pt1 Pt 0.8397 0.6849 0.6793 1
Pt2 Pt 0.1603 0.3151 0.3207 1
Pb1 Pb 0.5000 0.0000 0.0000 1
Se1 Se 0.5000 0.5000 0.0000 1
Se2 Se 0.8355 0.1758 0.6709 1
Se3 Se 0.1645 0.8242 0.3291 1

=====

# 2
# Sm2ThNb | Alexandria | PBE | optimized geometry
# Calculated density (Mg/m³): 9.0
# Energy relative to the elements (meV/atom): 580.7
# Size of the total moment (μB/cell): 0.7
data_Sm2ThNb
_cell_length_a 3.3559
_cell_length_b 3.3559
_cell_length_c 11.9653
_cell_angle_alpha 81.94
_cell_angle_beta 81.94
_cell_angle_gamma 60.00
_space_group_name_H-M_alt 'P 1'
_space_group_IT_number 1
loop_
_space_group_symop_operation_xyz
'x,y,z'
loop_
_atom_site_label
_atom_site_type_symbol
_atom_site_fract_x
_atom_site_fract_y
_atom_site_fract_z
_atom_site_occupancy
Nb1 Nb 0.0000 0.0000 0.0000 1
Sm1 Sm 0.0827 0.0827 0.7518 1
Sm2 Sm 0.9173 0.9173 0.2482 1
Th1 Th 0.5000 0.5000 0.5000 1